[1]
The following is a PBE-GGA calculation of a relaxed structure of Cs2Pb5Au4, from Alexandria via LeMat-Bulk.

Structure (POSCAR):
```
Cs2Pb5Au4
1.0
7.405 0.000 0.000
3.702 6.275 -0.625
3.702 0.997 7.673
Pb Au Cs
5 4 2
Direct
0.294 0.795 0.138
0.773 0.795 0.138
0.000 0.500 0.500
0.706 0.205 0.862
0.227 0.205 0.862
0.295 0.099 0.311
0.705 0.901 0.689
0.762 0.551 0.925
0.238 0.449 0.075
0.701 0.258 0.340
0.299 0.742 0.660
```

Results
- D(E_F) (states/eV/f.u.) = 5.98
- calculated volume (Å³/f.u.) = 361
- total magnetic moment (μB per formula unit) = 0.0
- formation enthalpy at 0 K (meV per atom) = -93

[2]
The following is a PBE-GGA calculation of a relaxed structure of SiTe2Cl, from Alexandria via LeMat-Bulk.

Structure (POSCAR):
```
SiTe2Cl
1.0
3.135 0.000 0.000
0.000 3.135 0.000
0.000 0.000 12.036
Cl Te Si
1 2 1
Direct
0.000 0.000 0.598
0.000 0.000 0.924
0.500 0.500 0.249
0.500 0.500 0.729
```

Results
- D(E_F) (states/eV/f.u.) = 1.78
- E above lowest polymorph (kJ/mol of atoms) = 27.5
- calculated volume (Å³/f.u.) = 118
- total magnetic moment (μB per formula unit) = 0.0

[3]
The following is a PBE-GGA calculation of a relaxed structure of Na2PaPd2S4, from Alexandria via LeMat-Bulk.

Structure (POSCAR):
```
Na2PaPd2S4
1.0
3.937 0.000 0.000
-1.969 7.074 -0.099
0.000 -2.537 6.755
S Pa Pd Na
4 1 2 2
Direct
0.198 0.396 0.226
0.802 0.604 0.774
0.517 0.035 0.754
0.483 0.965 0.246
0.000 0.000 0.000
0.689 0.379 0.034
0.311 0.621 0.966
0.134 0.269 0.571
0.866 0.731 0.429
```

Results
- D(E_F) (states/eV/f.u.) = 4.14
- calculated volume (Å³/f.u.) = 187
- total magnetic moment (μB per formula unit) = 0.0
- VASP energy (eV/f.u.) = -48.8

[4]
The following is a PBE-GGA calculation of a relaxed structure of K4SnPt5, from Alexandria via LeMat-Bulk.

Structure (POSCAR):
```
K4SnPt5
1.0
5.766 0.000 2.599
2.903 7.078 1.256
-0.029 -0.032 7.762
K Pt Sn
4 5 1
Direct
0.367 0.786 0.399
0.769 0.597 0.788
0.553 0.214 0.601
0.153 0.403 0.212
0.763 0.244 0.125
0.006 0.122 0.759
0.628 0.000 0.000
0.132 0.756 0.875
0.887 0.878 0.241
0.233 0.000 0.000
```

Results
- D(E_F) (states/eV/f.u.) = 10.37
- calculated volume (Å³/f.u.) = 317
- total magnetic moment (μB per formula unit) = 0.0
- formation enthalpy at 0 K (meV per atom) = 75

[5]
The following is a PBE-GGA calculation of a relaxed structure of TaAlAu, from Alexandria via LeMat-Bulk.

Structure (POSCAR):
```
TaAlAu
1.0
6.414 0.110 -0.117
5.717 2.912 -0.107
0.698 0.165 2.797
Al Au Ta
1 1 1
Direct
0.999 0.999 0.001
0.339 0.339 0.661
0.662 0.662 0.338
```

Results
- D(E_F) (states/eV/f.u.) = 1.97
- calculated volume (Å³/f.u.) = 51
- total magnetic moment (μB per formula unit) = 0.0
- formation enthalpy at 0 K (meV per atom) = -227

[6]
The following is a PBE-GGA calculation of a relaxed structure of Pr2LuCl, from Alexandria via LeMat-Bulk.

Structure (POSCAR):
```
Pr2LuCl
1.0
-3.614 -0.620 -0.159
-1.383 -2.124 -2.654
-0.500 -9.265 5.138
Lu Cl Pr
1 1 2
Direct
0.500 0.500 0.500
0.000 0.000 0.000
0.259 0.259 0.223
0.741 0.741 0.777
```

Results
- D(E_F) (states/eV/f.u.) = 4.57
- calculated volume (Å³/f.u.) = 121
- total magnetic moment (μB per formula unit) = 0.0
- VASP energy (eV/f.u.) = -18.5

[7]
The following is a PBE-GGA calculation of a relaxed structure of Te3MoPb, from Alexandria via LeMat-Bulk.

Structure (POSCAR):
```
Te3MoPb
1.0
-3.811 3.269 1.939
1.617 -1.090 5.016
3.439 4.134 -0.211
Pb Te Mo
1 3 1
Direct
0.500 0.500 0.500
0.000 0.000 0.500
0.000 0.500 0.000
0.500 0.000 0.000
0.000 0.000 0.000
```

Results
- D(E_F) (states/eV/f.u.) = 5.06
- E above lowest polymorph (kJ/mol of atoms) = 0.0
- calculated volume (Å³/f.u.) = 156
- total magnetic moment (μB per formula unit) = 1.8

[8]
The following is a PBE-GGA calculation of a relaxed structure of TaGaNi6, from Alexandria via LeMat-Bulk.

Structure (POSCAR):
```
TaGaNi6
1.0
3.644 0.000 0.000
0.000 3.644 0.000
0.000 0.000 7.181
Ga Ni Ta
1 6 1
Direct
0.000 0.000 0.000
0.500 0.000 0.752
0.500 0.000 0.248
0.500 0.500 0.500
0.500 0.500 0.000
0.000 0.500 0.248
0.000 0.500 0.752
0.000 0.000 0.500
```

Results
- D(E_F) (states/eV/f.u.) = 2.09
- E above lowest polymorph (kJ/mol of atoms) = 0.0
- calculated volume (Å³/f.u.) = 95
- total magnetic moment (μB per formula unit) = 0.0
- formation enthalpy at 0 K (meV per atom) = -365

[9]
The following is a PBE-GGA calculation of a relaxed structure of GaBI2O, from Alexandria via LeMat-Bulk.

Structure (POSCAR):
```
GaBI2O
1.0
-5.695 -1.173 3.143
0.995 -6.505 -0.626
1.395 -0.029 2.518
I Ga O B
2 1 1 1
Direct
0.000 0.500 0.000
0.500 0.000 0.000
0.500 0.500 0.500
0.000 0.000 0.500
0.000 0.000 0.000
```

Results
- D(E_F) (states/eV/f.u.) = 2.60
- E above lowest polymorph (kJ/mol of atoms) = 0.0
- calculated volume (Å³/f.u.) = 126
- total magnetic moment (μB per formula unit) = 0.4

[10]
The following is a PBE-GGA calculation of a relaxed structure of ScTaHg2, from Alexandria via LeMat-Bulk.

Structure (POSCAR):
```
ScTaHg2
1.0
5.024 0.000 0.000
0.000 3.166 -0.022
0.000 0.035 5.081
Ta Sc Hg
1 1 2
Direct
0.500 0.625 0.838
0.000 0.625 0.416
0.000 0.125 0.910
0.500 0.125 0.336
```

Results
- D(E_F) (states/eV/f.u.) = 5.04
- E above lowest polymorph (kJ/mol of atoms) = 6.8
- calculated volume (Å³/f.u.) = 81
- total magnetic moment (μB per formula unit) = 0.3
- formation enthalpy at 0 K (meV per atom) = 116

[11]
The following is a PBE-GGA calculation of a relaxed structure of MgPbCl, from Alexandria via LeMat-Bulk.

Structure (POSCAR):
```
MgPbCl
1.0
3.514 0.000 0.000
-1.757 3.043 0.000
0.000 0.000 8.032
Mg Cl Pb
1 1 1
Direct
0.333 0.667 0.287
0.000 0.000 0.105
0.667 0.333 0.608
```

Results
- D(E_F) (states/eV/f.u.) = 2.17
- E above lowest polymorph (kJ/mol of atoms) = 2.6
- calculated volume (Å³/f.u.) = 86
- total magnetic moment (μB per formula unit) = 0.2

[12]
The following is a PBE-GGA calculation of a relaxed structure of KMgRu3, from Alexandria via LeMat-Bulk.

Structure (POSCAR):
```
KMgRu3
1.0
-4.657 0.070 0.599
-0.175 -4.619 -0.826
0.577 -0.842 4.583
Ru K Mg
3 1 1
Direct
0.000 0.500 0.000
0.000 0.000 0.500
0.500 0.000 0.000
0.000 0.000 0.000
0.500 0.500 0.500
```

Results
- D(E_F) (states/eV/f.u.) = 4.92
- E above lowest polymorph (kJ/mol of atoms) = 72.7
- calculated volume (Å³/f.u.) = 104
- total magnetic moment (μB per formula unit) = 4.6
- formation enthalpy at 0 K (meV per atom) = 2576